[1]
12
Lattice="6.773 0.000 0.000 0.000 4.433 0.000 0.000 0.000 12.317" Properties=species:S:1:pos:R:3 comment="TePbAu | the Open Quantum Materials Database | PBE-GGA | optimized geometry" rho_kg_m3=9551 final_energy_ev_per_atom=-3.491 pbc="T T T"
Te 0.985 1.108 1.386
Te 2.401 3.325 7.544
Te 4.372 1.108 4.773
Te 5.788 3.325 10.932
Pb 1.051 1.108 4.488
Pb 2.335 3.325 10.647
Pb 4.438 1.108 1.670
Pb 5.721 3.325 7.829
Au 0.812 1.108 7.709
Au 2.575 3.325 1.550
Au 4.198 1.108 10.767
Au 5.961 3.325 4.608


[2]
4
Lattice="0.000 3.105 3.105 3.105 0.000 3.105 3.105 3.105 0.000" Properties=species:S:1:pos:R:3 comment="LuBeCoAs | the Open Quantum Materials Database | PBE-GGA | optimized geometry" e_above_lowest_polymorph_mev_per_atom=0 rho_kg_m3=8816 total_magnetization_mub_per_cell=0.8 pbc="T T T"
Lu 0.000 0.000 0.000
Be 4.657 4.657 4.657
Co 3.105 3.105 3.105
As 1.552 1.552 1.552


[3]
3
Lattice="0.000 3.038 3.038 3.038 0.000 3.038 3.038 3.038 0.000" Properties=species:S:1:pos:R:3 comment="ZrScB | the Open Quantum Materials Database | PBE-GGA | optimized geometry" rho_kg_m3=4351 total_magnetization_mub_per_cell=1.9 final_energy_ev_per_atom=-5.908 pbc="T T T"
Zr 0.000 0.000 0.000
Sc 4.557 4.557 4.557
B 3.038 3.038 3.038


[4]
10
Lattice="3.536 0.000 0.000 0.243 5.781 0.000 1.244 0.164 6.599" Properties=species:S:1:pos:R:3 comment="HoTm2SbO6 | the Open Quantum Materials Database | PBE-GGA | optimized geometry" rho_kg_m3=8869 total_magnetization_mub_per_cell=0.0 final_energy_ev_per_atom=-7.561 pbc="T T T"
Ho 0.000 0.000 0.000
Tm 1.581 2.802 1.722
Tm 3.442 3.144 4.876
Sb 2.390 0.082 3.299
O 1.087 5.035 4.595
O 1.678 2.148 4.087
O 1.878 4.286 0.129
O 3.146 1.660 6.469
O 3.345 3.797 2.511
O 3.937 0.910 2.004


[5]
7
Lattice="3.845 -2.216 0.000 3.845 2.216 0.000 -2.545 0.000 7.927" Properties=species:S:1:pos:R:3 comment="PrAg4P2 | the Open Quantum Materials Database | PBE-GGA | optimized geometry" rho_kg_m3=7795 total_magnetization_mub_per_cell=0.0 final_energy_ev_per_atom=-4.162 pbc="T T T"
Pr 0.000 0.000 0.000
Ag 0.008 0.000 3.547
Ag 2.567 0.000 2.240
Ag 2.579 0.000 5.687
Ag 5.138 0.000 4.381
P 0.018 0.000 6.280
P 5.128 0.000 1.647


[6]
8
Lattice="3.566 0.000 0.000 -1.783 3.088 0.000 0.000 0.000 13.512" Properties=species:S:1:pos:R:3 comment="YHf3Te2C2 | the Open Quantum Materials Database | PBE-GGA | optimized geometry" rho_kg_m3=10082 total_magnetization_mub_per_cell=0.0 final_energy_ev_per_atom=-8.474 pbc="T T T"
Y 0.000 0.000 0.000
Hf 0.000 0.000 9.080
Hf 1.783 1.029 2.510
Hf 1.783 1.029 6.782
Te 0.000 0.000 4.662
Te 1.783 1.029 11.155
C 0.000 2.059 1.452
C 0.000 2.059 7.927


[7]
10
Lattice="7.327 -2.034 0.000 7.327 2.034 0.000 -1.155 0.000 5.667" Properties=species:S:1:pos:R:3 comment="CuAg4 | the Open Quantum Materials Database | PBE-GGA | optimized geometry" e_above_lowest_polymorph_mev_per_atom=35 formation_enthalpy_0k_ev_per_atom=0.059 rho_kg_m3=9735 pbc="T T T"
Cu 1.118 0.000 1.701
Cu 12.381 0.000 3.965
Ag 0.505 0.000 4.523
Ag 3.934 0.000 2.294
Ag 3.398 0.000 5.079
Ag 7.327 0.000 0.000
Ag 6.749 0.000 2.833
Ag 10.101 0.000 0.588
Ag 9.565 0.000 3.372
Ag 12.993 0.000 1.143


[8]
12
Lattice="6.851 0.000 0.000 0.000 4.264 0.000 0.000 0.000 7.850" Properties=species:S:1:pos:R:3 comment="LuGaPd | the Open Quantum Materials Database | PBE-GGA | optimized geometry" rho_kg_m3=10170 total_magnetization_mub_per_cell=0.0 final_energy_ev_per_atom=-5.096 pbc="T T T"
Lu 0.156 1.066 1.495
Lu 3.270 3.198 5.420
Lu 3.581 1.066 2.430
Lu 6.695 3.198 6.355
Ga 1.525 3.198 3.040
Ga 1.901 1.066 6.965
Ga 4.950 3.198 0.885
Ga 5.326 1.066 4.810
Pd 1.080 1.066 4.442
Pd 2.345 3.198 0.517
Pd 4.505 1.066 7.333
Pd 5.771 3.198 3.408


[9]
2
Lattice="3.823 0.000 0.000 -1.912 3.311 0.000 0.000 0.000 6.006" Properties=species:S:1:pos:R:3 comment="AcTb | the Open Quantum Materials Database | PBE-GGA | optimized geometry" e_above_lowest_polymorph_mev_per_atom=0 formation_enthalpy_0k_ev_per_atom=0.091 rho_kg_m3=8428 total_magnetization_mub_per_cell=0.0 pbc="T T T"
Ac 0.000 0.000 0.000
Tb 1.912 1.104 3.003


[10]
5
Lattice="-1.927 5.271 3.884 1.927 -5.271 3.884 1.927 5.271 -3.884" Properties=species:S:1:pos:R:3 comment="Rb2TePtS | the Open Quantum Materials Database | PBE-GGA | optimized geometry" rho_kg_m3=5530 total_magnetization_mub_per_cell=0.0 final_energy_ev_per_atom=-3.875 pbc="T T T"
Rb 0.000 2.054 0.000
Rb 0.000 8.488 0.000
Te 1.927 0.000 2.455
Pt 0.000 0.000 4.248
S 0.000 5.271 1.856


[11]
8
Lattice="4.678 0.000 0.000 0.000 4.678 0.000 0.000 0.000 6.618" Properties=species:S:1:pos:R:3 comment="Li4Cd2SnGe | the Open Quantum Materials Database | PBE-GGA | optimized geometry" rho_kg_m3=5090 final_energy_ev_per_atom=-2.562 pbc="T T T"
Li 0.000 0.000 0.000
Li 0.000 2.339 4.904
Li 2.339 0.000 1.714
Li 2.339 2.339 3.309
Cd 0.000 2.339 1.747
Cd 2.339 0.000 4.872
Sn 2.339 2.339 0.000
Ge 0.000 0.000 3.309


[12]
4
Lattice="0.000 3.457 3.457 3.457 0.000 3.457 3.457 3.457 0.000" Properties=species:S:1:pos:R:3 comment="HfPbAu2 | the Open Quantum Materials Database | PBE-GGA | optimized geometry" rho_kg_m3=15665 total_magnetization_mub_per_cell=0.0 final_energy_ev_per_atom=-5.087 pbc="T T T"
Hf 0.000 0.000 0.000
Pb 5.186 5.186 5.186
Au 1.729 1.729 1.729
Au 3.457 3.457 3.457


[13]
4
Lattice="0.000 3.178 3.178 3.178 0.000 3.178 3.178 3.178 0.000" Properties=species:S:1:pos:R:3 comment="NbAl2W | the Open Quantum Materials Database | PBE-GGA | optimized geometry" rho_kg_m3=8558 total_magnetization_mub_per_cell=0.0 final_energy_ev_per_atom=-7.691 pbc="T T T"
Nb 0.000 0.000 0.000
Al 1.589 1.589 1.589
Al 3.178 3.178 3.178
W 4.766 4.766 4.766


[14]
4
Lattice="0.000 3.140 3.140 3.140 0.000 3.140 3.140 3.140 0.000" Properties=species:S:1:pos:R:3 comment="Cd2TcB | the Open Quantum Materials Database | PBE-GGA | optimized geometry" rho_kg_m3=8945 total_magnetization_mub_per_cell=0.0 final_energy_ev_per_atom=-3.645 pbc="T T T"
Cd 0.000 0.000 0.000
Cd 1.570 1.570 1.570
Tc 4.710 4.710 4.710
B 3.140 3.140 3.140


[15]
12
Lattice="1.923 -8.157 0.000 1.923 8.157 0.000 0.000 0.000 11.043" Properties=species:S:1:pos:R:3 comment="TlSnTeAuS2 | the Open Quantum Materials Database | PBE-GGA | optimized geometry" rho_kg_m3=6823 final_energy_ev_per_atom=-3.716 pbc="T T T"
Tl 1.923 4.425 8.282
Tl 1.923 -4.425 2.761
Sn 1.923 0.000 0.000
Sn 1.923 0.000 5.521
Te 1.923 1.039 2.761
Te 1.923 -1.039 8.282
Au 1.923 6.202 2.761
Au 1.923 -6.202 8.282
S 1.923 6.314 0.425
S 1.923 6.314 5.096
S 1.923 -6.314 5.947
S 1.923 -6.314 10.617


[16]
3
Lattice="0.000 2.882 2.882 2.882 0.000 2.882 2.882 2.882 0.000" Properties=species:S:1:pos:R:3 comment="Cu2W | the Open Quantum Materials Database | PBE-GGA | optimized geometry" formation_enthalpy_0k_ev_per_atom=1.174 rho_kg_m3=10781 total_magnetization_mub_per_cell=0.0 pbc="T T T"
Cu 1.441 1.441 1.441
Cu 4.323 4.323 4.323
W 0.000 0.000 0.000


[17]
3
Lattice="0.000 3.415 3.415 3.415 0.000 3.415 3.415 3.415 0.000" Properties=species:S:1:pos:R:3 comment="BaBOs | the Open Quantum Materials Database | PBE-GGA | optimized geometry" e_above_lowest_polymorph_mev_per_atom=1143 rho_kg_m3=7052 total_magnetization_mub_per_cell=1.1 pbc="T T T"
Ba 0.000 0.000 0.000
B 5.123 5.123 5.123
Os 1.708 1.708 1.708


[18]
12
Lattice="4.502 0.000 0.000 -2.251 3.899 0.000 0.000 0.000 15.783" Properties=species:S:1:pos:R:3 comment="YHoZn2Sn2 | the Open Quantum Materials Database | PBE-GGA | optimized geometry" e_above_lowest_polymorph_mev_per_atom=0 rho_kg_m3=7456 total_magnetization_mub_per_cell=0.0 pbc="T T T"
Y 0.000 0.000 0.000
Y 0.000 0.000 7.892
Ho 0.000 0.000 3.946
Ho 0.000 0.000 11.837
Zn 0.000 2.599 2.541
Zn 0.000 2.599 5.350
Zn 2.251 1.300 10.433
Zn 2.251 1.300 13.242
Sn 0.000 2.599 9.678
Sn 0.000 2.599 13.997
Sn 2.251 1.300 1.787
Sn 2.251 1.300 6.105


[19]
8
Lattice="3.994 0.000 0.000 0.000 5.085 0.000 0.000 0.000 6.986" Properties=species:S:1:pos:R:3 comment="DyErIn2Ni4 | the Open Quantum Materials Database | PBE-GGA | optimized geometry" e_above_lowest_polymorph_mev_per_atom=0 rho_kg_m3=9294 total_magnetization_mub_per_cell=0.0 pbc="T T T"
Dy 0.000 0.000 0.000
Er 0.000 2.542 3.718
In 1.997 0.000 4.349
In 1.997 2.542 6.359
Ni 0.000 0.000 2.661
Ni 0.000 2.542 1.074
Ni 1.997 1.277 1.873
Ni 1.997 3.808 1.873


[20]
9
Lattice="3.330 0.000 0.000 0.000 3.330 0.000 0.000 0.000 10.057" Properties=species:S:1:pos:R:3 comment="Re2Au2O5 | the Open Quantum Materials Database | PBE-GGA | optimized geometry" e_above_lowest_polymorph_mev_per_atom=435 rho_kg_m3=12603 total_magnetization_mub_per_cell=4.6 pbc="T T T"
Re 0.000 0.000 0.000
Re 0.000 0.000 5.029
Au 1.665 1.665 2.184
Au 1.665 1.665 7.873
O 0.000 1.665 3.878
O 0.000 1.665 6.179
O 1.665 0.000 3.878
O 1.665 0.000 6.179
O 1.665 1.665 0.000